1.
Compound: LaDyHo5Er2
Source: Alexandria via LeMat-Bulk
Functional: PBE-GGA
Structure: optimized geometry

Calculated values
The energy relative to the elements is 0.292 eV per atom. The value obtained for the total magnetization is 0.000 μB per atom. As for the total energy: -4.324 eV/atom.

Cell lengths 9.0252, 9.0252, 9.6440 Å; angles 117.90, 117.90, 90.00 degrees
Positions (direct):
Ho 0.3317 0.8317 0.2569
Er 0.3888 0.8888 0.0000
Ho 0.5747 0.6683 0.7431
La 0.7500 0.7500 0.5000
Ho 0.6683 0.1683 0.7431
Ho 0.0747 0.5747 0.7431
Er 0.1112 0.3888 0.0000
Ho 0.4253 0.3317 0.2569
Ho 0.1683 0.0747 0.7431
Dy 0.2500 0.7500 0.5000
Ho 0.0000 0.0000 0.0000
Ho 0.5000 0.5000 0.0000
Dy 0.7500 0.2500 0.5000
Ho 0.9253 0.4253 0.2569
Er 0.8888 0.6112 0.0000
Ho 0.8317 0.9253 0.2569
Er 0.6112 0.1112 0.0000
La 0.2500 0.2500 0.5000

***

2.
Compound: Sr2ZnCr
Source: Alexandria via LeMat-Bulk
Functional: PBE-GGA
Structure: optimized geometry

Calculated values
The energy relative to the elements is 0.449 eV per atom. The value obtained for the total magnetization is 1.233 μB per atom. As for the total energy: -3.116 eV/atom.

Cell lengths 5.4097, 5.4097, 5.4097 Å; angles 60.00, 60.00, 60.00 degrees
Last column: magnetic moment on the atom in μB.
Positions (direct):
Sr 0.0000 0.0000 0.0000  0.02
Cr 0.5000 0.5000 0.5000  3.97
Sr 0.2500 0.2500 0.2500  0.08
Zn 0.7500 0.7500 0.7500  -0.03

***

3.
Compound: ScP2Rh
Source: Alexandria via LeMat-Bulk
Functional: PBE-GGA
Structure: optimized geometry

Calculated values
The energy relative to the elements is -0.697 eV per atom. The value obtained for the total magnetization is 0.000 μB per atom. As for the total energy: -6.823 eV/atom.

Cell lengths 4.4054, 4.4037, 3.0590 Å; angles 90.00, 90.00, 90.00 degrees
Positions (direct):
Sc 0.0000 0.5000 0.5000
P 0.5000 0.5000 0.0000
P 0.0000 0.0000 0.0000
Rh 0.5000 0.0000 0.5000

***

4.
Compound: Nd3PuIn12
Source: Alexandria via LeMat-Bulk
Functional: PBE-GGA
Structure: optimized geometry

Calculated values
The energy relative to the elements is -0.406 eV per atom. The value obtained for the total magnetization is 0.344 μB per atom. As for the total energy: -4.250 eV/atom.

Cell lengths 4.6954, 4.6954, 18.8318 Å; angles 90.00, 90.00, 90.00 degrees
Last column: magnetic moment on the atom in μB.
Positions (direct):
In 0.0000 0.5000 0.1218  0.00
In 0.5000 0.5000 0.0000  0.00
Nd 0.0000 0.0000 0.2493  0.00
In 0.5000 0.5000 0.5000  0.00
In 0.5000 0.5000 0.7519  -0.01
In 0.0000 0.5000 0.3742  -0.01
In 0.5000 0.0000 0.3742  -0.01
Nd 0.0000 0.0000 0.5000  0.00
In 0.5000 0.0000 0.1218  0.00
In 0.5000 0.0000 0.8782  0.00
In 0.5000 0.5000 0.2481  -0.01
In 0.0000 0.5000 0.8782  0.00
Nd 0.0000 0.0000 0.7507  0.00
Pu 0.0000 0.0000 0.0000  5.34
In 0.0000 0.5000 0.6258  -0.01
In 0.5000 0.0000 0.6258  -0.01

***

5.
Compound: Rb3ZrPb2O6
Source: Alexandria via LeMat-Bulk
Functional: PBE-GGA
Structure: optimized geometry

Calculated values
The value obtained for the total magnetization is 0.044 μB per atom. The uncorrected formation energy is -1692 meV/atom. As for the total energy: -5.744 eV/atom.

Cell lengths 6.2632, 6.2632, 7.4558 Å; angles 90.00, 90.00, 120.00 degrees
Last column: magnetic moment on the atom in μB.
Positions (direct):
Pb 0.6667 0.3333 0.8108  0.01
O 0.1598 0.3195 0.3333  0.07
Rb 0.3333 0.6667 0.6494  0.00
O 0.6805 0.8402 0.3333  0.07
Rb 0.6667 0.3333 0.3506  0.00
O 0.1598 0.8402 0.3333  0.07
O 0.8402 0.6805 0.6667  0.07
O 0.8402 0.1598 0.6667  0.07
Pb 0.3333 0.6667 0.1892  0.01
Rb 0.0000 0.0000 0.0000  0.00
O 0.3195 0.1598 0.6667  0.07
Zr 0.0000 0.0000 0.5000  -0.01

***

6.
Compound: K3HfSn2O9
Source: Alexandria via LeMat-Bulk
Functional: PBE-GGA
Structure: optimized geometry

Calculated values
The value obtained for the total magnetization is 0.202 μB per atom. The uncorrected formation energy is -1726 meV/atom. As for the total energy: -6.118 eV/atom.

Cell lengths 5.8857, 5.8857, 7.2098 Å; angles 90.00, 90.00, 120.00 degrees
Last column: magnetic moment on the atom in μB.
Positions (direct):
O 0.6670 0.8335 0.3335  0.28
Hf 0.0000 0.0000 0.5000  -0.07
K 0.3333 0.6667 0.6687  0.00
O 0.5000 0.0000 0.0000  0.31
Sn 0.3333 0.6667 0.1688  -0.04
O 0.1665 0.3330 0.3335  0.28
K 0.0000 0.0000 0.0000  0.00
O 0.1665 0.8335 0.3335  0.28
Sn 0.6667 0.3333 0.8312  -0.04
O 0.0000 0.5000 0.0000  0.31
O 0.8335 0.1665 0.6665  0.28
O 0.3330 0.1665 0.6665  0.28
O 0.5000 0.5000 0.0000  0.31
O 0.8335 0.6670 0.6665  0.28
K 0.6667 0.3333 0.3313  0.00

***

7.
Compound: Pm2Si2Tc3
Source: Alexandria via LeMat-Bulk
Functional: PBE-GGA
Structure: optimized geometry

Calculated values
The value obtained for the total magnetization is 0.000 μB per atom. The uncorrected formation energy is -358 meV/atom. As for the total energy: -7.707 eV/atom.

Cell lengths 4.2361, 5.5470, 6.4862 Å; angles 106.66, 90.00, 112.45 degrees
Positions (direct):
Tc 0.0000 0.0000 0.0000
Si 0.9007 0.8014 0.3019
Tc 0.2909 0.5818 0.0974
Tc 0.7091 0.4182 0.9026
Si 0.0993 0.1986 0.6981
Pm 0.6169 0.2339 0.3369
Pm 0.3831 0.7661 0.6631

***

8.
Compound: HfMo
Source: Alexandria via LeMat-Bulk
Functional: PBE-GGA
Structure: optimized geometry

Calculated values
The energy relative to the elements is -0.076 eV per atom. The value obtained for the total magnetization is 0.000 μB per atom. As for the total energy: -10.468 eV/atom.

Cell lengths 5.3792, 5.3792, 9.0810 Å; angles 90.00, 90.00, 120.00 degrees
Positions (direct):
Mo 0.8281 0.1719 0.2500
Hf 0.6667 0.3333 0.5655
Mo 0.3437 0.1719 0.2500
Mo 0.8281 0.6563 0.2500
Mo 0.6563 0.8281 0.7500
Mo 0.1719 0.3437 0.7500
Hf 0.3333 0.6667 0.4345
Hf 0.3333 0.6667 0.0655
Hf 0.0000 0.0000 0.5000
Hf 0.6667 0.3333 0.9345
Mo 0.1719 0.8281 0.7500
Hf 0.0000 0.0000 0.0000

***

Question: What is the total magnetization in the second record?
Answer: 1.233 μB per atom

***

Question: What is the total magnetization in the seventh record?
Answer: 0.000 μB per atom